(1)
DFT (PBE-GGA) results for an optimized crystal structure of Cu2SeO.

Properties
The formation energy without anion corrections comes out at -0.262 eV/atom. The value obtained for the theoretical density is 5970 kg/m3. The total magnetic moment is 0.0 μB per formula unit. As for the energy relative to the lowest polymorph listed for this composition: 0.00 eV/f.u. Its density of states at the Fermi level is 0.633 states/eV per atom.

Cell lengths 4.959, 4.959, 10.047 Å; angles 90.00, 90.00, 90.00 degrees
Space group I-42d (No. 122)
One atom of each set of equivalent atoms:
Cu (0.173, 0.250, 0.125) [8 per cell]
Se (0.000, 0.000, 0.500) [4 per cell]
O (0.000, 0.000, 0.000) [4 per cell]



(2)
DFT (PBE-GGA) results for an optimized crystal structure of CuSe2O8.

Properties
The formation energy without anion corrections comes out at -0.215 eV/atom. The value obtained for the theoretical density is 3345 kg/m3. The total magnetic moment is 1.0 μB per formula unit. Its density of states at the Fermi level is 0.539 states/eV per atom.

Cell lengths 5.4540, 5.4540, 6.7352 Å; angles 90.00, 90.00, 120.00 degrees
Space group P-3m1 (No. 164)
One atom of each set of equivalent atoms:
Cu (0.0000, 0.0000, 0.0000) [1 per cell]
Se (0.3333, 0.6667, 0.7501) [2 per cell]
O (0.1599, 0.3197, 0.8098) [6 per cell]
O (0.3333, 0.6667, 0.5047) [2 per cell]



(3)
DFT (PBE-GGA) results for an optimized crystal structure of CuSeO3.

Properties
The formation energy without anion corrections comes out at -0.660 eV/atom. The value obtained for the theoretical density is 4671 kg/m3. The total magnetic moment is 0.0 μB per formula unit. Its density of states at the Fermi level is 0.218 states/eV per atom.

Cell lengths 6.034, 12.360, 7.264 Å; angles 90.00, 90.00, 90.00 degrees
Space group Pbca (No. 61)
One atom of each set of equivalent atoms:
Cu (0.154, 0.094, 0.077) [8 per cell]
Se (0.109, 0.144, 0.548) [8 per cell]
O (0.027, 0.590, 0.145) [8 per cell]
O (0.140, 0.566, 0.538) [8 per cell]
O (0.206, 0.236, 0.960) [8 per cell]



(4)
DFT (PBE-GGA) results for an optimized crystal structure of Cu2SeO.

Properties
The formation energy without anion corrections comes out at 0.261 eV/atom. The value obtained for the theoretical density is 7136 kg/m3. The total magnetic moment is 2.0 μB per formula unit. As for the energy relative to the lowest polymorph listed for this composition: 2.09 eV/f.u. Its density of states at the Fermi level is 0.317 states/eV per atom.

Cell lengths 5.912, 5.912, 5.912 Å; angles 90.00, 90.00, 90.00 degrees
Space group Fm-3m (No. 225)
One atom of each set of equivalent atoms:
Cu (0.250, 0.250, 0.250) [8 per cell]
Se (0.000, 0.000, 0.000) [4 per cell]
O (0.000, 0.000, 0.500) [4 per cell]